(1)
VASP calculation (SCAN) on TaOs2Rh at its PBEsol-relaxed geometry.

Results
energy of formation from the pure elements = -20.85 kJ per mole of atoms
excess energy over the best structure of this formula in the dataset = 0.134 eV per atom

```
data_TaOs2Rh
_space_group_name_H-M_alt 'P 1 2/m 1'
_space_group_IT_number 10
_cell_length_a 4.711
_cell_length_b 2.767
_cell_length_c 4.728
_cell_angle_alpha 90.00
_cell_angle_beta 108.74
_cell_angle_gamma 90.00
loop_
_space_group_symop_operation_xyz
'x,y,z'
'-x,-y,-z'
'-x,y,-z'
'x,-y,z'
loop_
_atom_site_label
_atom_site_fract_x
_atom_site_fract_y
_atom_site_fract_z
_atom_site_occupancy
Ta1 0.000 0.000 0.000 1
Os1 0.500 0.000 0.500 1
Os2 0.500 0.500 0.000 1
Rh1 0.000 0.500 0.500 1
```

---

(2)
VASP calculation (SCAN) on Ta2OsRh at its PBEsol-relaxed geometry.

Results
energy of formation from the pure elements = -43.15 kJ per mole of atoms

```
data_Ta2OsRh
_space_group_name_H-M_alt 'I 4/m m m'
_space_group_IT_number 139
_space_group_name_Hall '-I 4 2'
_cell_length_a 4.160
_cell_length_b 4.160
_cell_length_c 7.217
_cell_angle_alpha 90.00
_cell_angle_beta 90.00
_cell_angle_gamma 90.00
loop_
_atom_site_label
_atom_site_fract_x
_atom_site_fract_y
_atom_site_fract_z
_atom_site_occupancy
Ta1 0.000 0.500 0.250 1
Os1 0.000 0.000 0.000 1
Rh1 0.000 0.000 0.500 1
```

---

(3)
VASP calculation (SCAN) on TaOsRh2 at its PBEsol-relaxed geometry.

Results
energy of formation from the pure elements = -47.83 kJ per mole of atoms
excess energy over the best structure of this formula in the dataset = 0.000 eV per atom

```
data_TaOsRh2
_space_group_name_H-M_alt 'P 4/m m m'
_space_group_IT_number 123
_space_group_name_Hall '-P 4 2'
_cell_length_a 3.845
_cell_length_b 3.845
_cell_length_c 3.887
_cell_angle_alpha 90.00
_cell_angle_beta 90.00
_cell_angle_gamma 90.00
loop_
_atom_site_label
_atom_site_fract_x
_atom_site_fract_y
_atom_site_fract_z
_atom_site_occupancy
Ta1 0.000 0.000 0.000 1
Os1 0.500 0.500 0.000 1
Rh1 0.000 0.500 0.500 1
```

---

(4)
VASP calculation (SCAN) on Ta2OsRh at its PBEsol-relaxed geometry.

Results
energy of formation from the pure elements = -41.85 kJ per mole of atoms

```
data_Ta2OsRh
_space_group_name_H-M_alt 'P 4/m m m'
_space_group_IT_number 123
_space_group_name_Hall '-P 4 2'
_cell_length_a 4.156
_cell_length_b 4.156
_cell_length_c 3.613
_cell_angle_alpha 90.00
_cell_angle_beta 90.00
_cell_angle_gamma 90.00
loop_
_atom_site_label
_atom_site_fract_x
_atom_site_fract_y
_atom_site_fract_z
_atom_site_occupancy
Ta1 0.000 0.500 0.000 1
Os1 0.000 0.000 0.500 1
Rh1 0.500 0.500 0.500 1
```